No. 1
Here is an optimized crystal structure of CeNd2Ho from Alexandria via LeMat-Bulk. Energies are from PBE.

Summary:
E above lowest polymorph: 127 meV/atom
electronic total energy: -4.825 eV/atom
formation energy from the elements: 187 meV per atom

a = 3.4735 Å, b = 3.4735 Å, c = 37.5986 Å
α = 90.00°, β = 90.00°, γ = 120.00°
Space group R-3m (No. 166, hexagonal axes)
Inequivalent atoms, fractional coordinates:
Ce 0.0000 0.0000 0.0000 [3 per cell]
Nd 0.0000 0.0000 0.0882 [6 per cell]
Ho 0.0000 0.0000 0.5000 [3 per cell]

---

No. 2
Here is an optimized crystal structure of CeNdHo2 from Alexandria via LeMat-Bulk. Energies are from PBE.

Summary:
E above lowest polymorph: 0 meV/atom
electronic total energy: -4.931 eV/atom
formation energy from the elements: 33 meV per atom

a = 3.5663 Å, b = 3.5663 Å, c = 11.4204 Å
α = 90.00°, β = 90.00°, γ = 120.00°
Space group P-3m1 (No. 164)
Inequivalent atoms, fractional coordinates:
Ce 0.0000 0.0000 0.0000 [1 per cell]
Nd 0.0000 0.0000 0.5000 [1 per cell]
Ho 0.3333 0.6667 0.7562 [2 per cell]

---

No. 3
Here is an optimized crystal structure of CeNd2Ho5 from Alexandria via LeMat-Bulk. Energies are from PBE.

Summary:
E above lowest polymorph: 3 meV/atom
electronic total energy: -4.748 eV/atom
formation energy from the elements: 47 meV per atom

a = 5.056 Å, b = 5.056 Å, c = 20.030 Å
α = 90.00°, β = 90.00°, γ = 90.00°
Space group I4/mmm (No. 139)
Inequivalent atoms, fractional coordinates:
Ce 0.000 0.000 0.000 [2 per cell]
Nd 0.000 0.000 0.248 [4 per cell]
Ho 0.000 0.000 0.500 [2 per cell]
Ho 0.000 0.500 0.122 [8 per cell]

---

What did the second record say?
Here is an optimized crystal structure of CeNdHo2 from Alexandria via LeMat-Bulk. Energies are from PBE.

Summary:
E above lowest polymorph: 0 meV/atom
electronic total energy: -4.931 eV/atom
formation energy from the elements: 33 meV per atom

a = 3.5663 Å, b = 3.5663 Å, c = 11.4204 Å
α = 90.00°, β = 90.00°, γ = 120.00°
Space group P-3m1 (No. 164)
Inequivalent atoms, fractional coordinates:
Ce 0.0000 0.0000 0.0000 [1 per cell]
Nd 0.0000 0.0000 0.5000 [1 per cell]
Ho 0.3333 0.6667 0.7562 [2 per cell]

---

- Which of these has the lowest electronic total energy?
  CeNdHo2

---

- Among the records above, which one has the highest E above lowest polymorph?
  CeNd2Ho

---

- Among the records above, which one has the highest formation energy from the elements?
  CeNd2Ho